Record 1
VASP calculation (PBE) on an optimized crystal structure of SrCoSi2.

abc: 3.9287 3.9287 16.9021
angles: 90.00 90.00 120.00
Closest atoms and distances in Å follow each position.
Space group R-3m (No. 166, hexagonal axes)
Inequivalent atoms, fractional coordinates:
Sr  0.0000  0.0000  0.0000  8 Si 3.18-3.41
Co  0.0000  0.0000  0.5000  6 Si 2.34
Si  0.0000  0.0000  0.2018  3 Co 2.34, 3 Si 2.56

Calculated values
Crystal system: trigonal
Formation energy without anion corrections, kcal/mol of atoms: -11.16


Record 2
VASP calculation (PBE) on an optimized crystal structure of YHoThTc.

abc: 4.7595 4.7595 17.6991
angles: 90.00 90.00 120.00
Closest atoms and distances in Å follow each position.
Space group R3m (No. 160, hexagonal axes)
Inequivalent atoms, fractional coordinates:
Y  0.0000  0.0000  0.0000  3 Tc 3.06, 3 Th 3.31
Ho  0.0000  0.0000  0.2151  3 Th 3.38, 4 Tc 3.43-3.69, 3 Y 3.45
Th  0.0000  0.0000  0.7706  3 Tc 2.79
Tc  0.0000  0.0000  0.4090  3 Th 2.79, 3 Y 3.06

Calculated values
Crystal system: trigonal
Formation energy from the elements, eV per atom: 0.169


Record 3
VASP calculation (PBE) on an optimized crystal structure of NaFe2Pd2.

abc: 4.3091 4.3091 9.5337
angles: 90.00 90.00 90.00
Closest atoms and distances in Å follow each position.
Space group I4/mmm (No. 139)
Inequivalent atoms, fractional coordinates:
Na  0.0000  0.0000  0.0000  8 Pd 3.21, 8 Fe 3.24
Fe  0.0000  0.0000  0.3838  1 Fe 2.22
Pd  0.0000  0.5000  0.2500  4 Fe 2.50

Calculated values
Crystal system: tetragonal
Polymorph energy (0 for the lowest one), meV per atom: 258
Formation energy from the elements, eV per atom: 0.311


Record 4
VASP calculation (PBE) on an optimized crystal structure of K2LiMgBi2.

abc: 6.9767 16.7629 6.9938
angles: 90.00 90.00 90.00
Closest atoms and distances in Å follow each position.
Space group Ibam (No. 72)
Inequivalent atoms, fractional coordinates:
K  0.2463  0.1717  0.0000  5 Bi 3.65-3.82, 2 Li 3.78, 2 Mg 3.80
Li  0.0000  0.0000  0.2500  4 Bi 2.98
Mg  0.0000  0.5000  0.2500  4 Bi 3.00
Bi  0.2480  0.1005  0.5000  2 Li 2.98, 2 Mg 3.00

Calculated values
Crystal system: orthorhombic
Formation energy from the elements, eV per atom: -0.421


Record 5
VASP calculation (PBE) on an optimized crystal structure of Ho6GaS4.

abc: 3.8808 12.8944 19.8161
angles: 90.00 90.00 90.00
Closest atoms and distances in Å follow each position.
Space group Cmcm (No. 63)
Inequivalent atoms, fractional coordinates:
Ho  0.0000  0.0000  0.0000  6 S 2.71-2.75
Ho  0.0000  0.1655  0.2500  2 S 2.69, 2 Ga 2.93
Ho  0.0000  0.2722  0.5848  5 S 2.73-2.75
Ho  0.0000  0.4538  0.1633  3 S 2.72-2.74, 2 Ga 3.01
Ga  0.0000  0.1648  0.7500  6 Ho 2.93-3.01
S  0.0000  0.0907  0.1232  6 Ho 2.69-2.74
S  0.0000  0.3622  0.0399  6 Ho 2.72-2.75

Calculated values
Crystal system: orthorhombic
Formation energy without anion corrections, kcal/mol of atoms: -36.39


Record 6
VASP calculation (PBE) on an optimized crystal structure of Sm5Er8Tl.

abc: 9.5506 9.5506 10.0113
angles: 90.00 90.00 90.00
Closest atoms and distances in Å follow each position.
Space group I-4 (No. 82)
Inequivalent atoms, fractional coordinates:
Sm  0.0000  0.0000  0.0000  8 Er 3.12-3.30
Sm  0.1010  0.7878  0.4219  8 Er 3.36-3.61, 2 Sm 3.54
Er  0.0704  0.6779  0.0977  5 Sm 3.30-3.61, 4 Er 3.65-3.67
Er  0.0831  0.8136  0.7560  1 Tl 3.10, 3 Sm 3.12-3.43
Tl  0.0000  0.5000  0.7500  4 Er 3.10

Calculated values
Crystal system: tetragonal
Formation energy from the elements, eV per atom: 0.189


Record 7
VASP calculation (PBE) on an optimized crystal structure of Ca2WI.

abc: 8.3812 8.3812 7.6396
angles: 90.00 90.00 90.00
Closest atoms and distances in Å follow each position.
Space group I-42d (No. 122)
Inequivalent atoms, fractional coordinates:
Ca  0.2431  0.7500  0.1250  2 W 3.07, 2 I 3.15
W  0.0000  0.0000  0.0000  4 Ca 3.07
I  0.0000  0.0000  0.5000  4 Ca 3.15

Calculated values
Crystal system: tetragonal
Formation energy without anion corrections, kcal/mol of atoms: 19.67
Polymorph energy (0 for the lowest one), meV per atom: 78


Record 8
VASP calculation (PBE) on an optimized crystal structure of MgSiW.

abc: 3.2517 3.2517 9.4961
angles: 90.00 90.00 90.00
Closest atoms and distances in Å follow each position.
Space group I4mm (No. 107)
Inequivalent atoms, fractional coordinates:
Mg  0.0000  0.0000  0.0000  5 Si 2.85-2.98, 5 W 2.91-2.94
Si  0.0000  0.0000  0.7001  4 W 2.51
W  0.0000  0.0000  0.3064  4 Si 2.51

Calculated values
Crystal system: tetragonal
Formation energy without anion corrections, kcal/mol of atoms: 4.56


Record 9
VASP calculation (PBE) on an optimized crystal structure of NdCdAg2.

abc: 7.1442 7.1442 7.1442
angles: 90.00 90.00 90.00
Closest atoms and distances in Å follow each position.
Space group Fm-3m (No. 225)
Inequivalent atoms, fractional coordinates:
Nd  0.0000  0.0000  0.0000  8 Ag 3.09
Cd  0.0000  0.0000  0.5000  8 Ag 3.09
Ag  0.2500  0.2500  0.2500  4 Cd 3.09, 4 Nd 3.09

Calculated values
Crystal system: cubic
Formation energy from the elements, eV per atom: -0.275


Record 10
VASP calculation (PBE) on an optimized crystal structure of LiHgMo2.

abc: 2.8319 2.8319 29.5890
angles: 90.00 90.00 120.00
Closest atoms and distances in Å follow each position.
Space group R3m (No. 160, hexagonal axes)
Inequivalent atoms, fractional coordinates:
Li  0.0000  0.0000  0.0000  6 Li 2.83, 3 Hg 2.91, 3 Mo 2.95
Hg  0.0000  0.0000  0.7480  6 Hg 2.83, 3 Li 2.91, 3 Mo 3.09
Mo  0.0000  0.0000  0.2504  9 Mo 2.83-2.89, 3 Li 2.95
Mo  0.0000  0.0000  0.5032  9 Mo 2.83-2.89, 3 Hg 3.09

Calculated values
Crystal system: trigonal
Formation energy from the elements, eV per atom: 0.372


Record 11
VASP calculation (PBE) on an optimized crystal structure of KAc2Eu.

abc: 3.9465 3.9465 42.8848
angles: 90.00 90.00 120.00
Closest atoms and distances in Å follow each position.
Space group R-3m (No. 166, hexagonal axes)
Inequivalent atoms, fractional coordinates:
K  0.0000  0.0000  0.0000  6 K 3.95, 2 Ac 3.98
Ac  0.0000  0.0000  0.0928  3 Eu 3.90, 6 Ac 3.95, 1 K 3.98
Eu  0.0000  0.0000  0.5000  6 Ac 3.90, 6 Eu 3.95

Calculated values
Crystal system: trigonal
Formation energy from the elements, eV per atom: 0.168


Record 12
VASP calculation (PBE) on an optimized crystal structure of Pt2RhSe2.

abc: 3.6964 3.6964 13.3786
angles: 90.00 90.00 90.00
Closest atoms and distances in Å follow each position.
Space group I4/mmm (No. 139)
Inequivalent atoms, fractional coordinates:
Pt  0.0000  0.5000  0.2500  4 Pt 2.61, 4 Se 2.70
Rh  0.0000  0.0000  0.0000  8 Se 2.95
Se  0.0000  0.0000  0.3974  4 Pt 2.70, 1 Se 2.75, 4 Rh 2.95

Calculated values
Crystal system: tetragonal
Formation energy without anion corrections, kcal/mol of atoms: 9.13


Record 13
VASP calculation (PBE) on an optimized crystal structure of Mg2ZrTl3S6.

abc: 6.6719 11.5872 7.5257
angles: 90.00 107.38 90.00
Closest atoms and distances in Å follow each position.
Space group C2/m (No. 12)
Inequivalent atoms, fractional coordinates:
Mg  0.0000  0.1655  0.0000  6 S 2.64-2.66
Zr  0.0000  0.5000  0.0000  6 S 2.59-2.60
Tl  0.0000  0.0000  0.5000  6 S 3.11-3.15
Tl  0.0000  0.3322  0.5000  6 S 3.10-3.15
S  0.2290  0.3367  0.1938  1 Zr 2.59, 2 Mg 2.64-2.66
S  0.2397  0.0000  0.1968  1 Zr 2.60, 2 Mg 2.65

Calculated values
Crystal system: monoclinic
Formation energy without anion corrections, kcal/mol of atoms: -21.87


Record 14
VASP calculation (PBE) on an optimized crystal structure of LiGaPt4.

abc: 4.0484 4.0484 5.8403
angles: 90.00 90.00 90.00
Closest atoms and distances in Å follow each position.
Space group P4/mmm (No. 123)
Inequivalent atoms, fractional coordinates:
Li  0.0000  0.0000  0.0000  8 Pt 2.46
Ga  0.5000  0.5000  0.5000  8 Pt 2.53
Pt  0.0000  0.5000  0.2406  2 Li 2.46, 2 Ga 2.53

Calculated values
Crystal system: tetragonal
Formation energy from the elements, eV per atom: -0.282


Record 15
VASP calculation (PBE) on an optimized crystal structure of Y2SiAu.

abc: 5.0850 5.0850 3.5252
angles: 90.00 90.00 90.00
Closest atoms and distances in Å follow each position.
Space group P4/mmm (No. 123)
Inequivalent atoms, fractional coordinates:
Y  0.0000  0.5000  0.0000  4 Si 3.09, 4 Au 3.09
Si  0.0000  0.0000  0.5000  8 Y 3.09
Au  0.5000  0.5000  0.5000  8 Y 3.09

Calculated values
Crystal system: tetragonal
Formation energy without anion corrections, kcal/mol of atoms: -15.81


Record 16
VASP calculation (PBE) on an optimized crystal structure of BeCdW2.

abc: 3.7687 3.7687 4.3774
angles: 90.00 90.00 90.00
Closest atoms and distances in Å follow each position.
Space group P4/mmm (No. 123)
Inequivalent atoms, fractional coordinates:
Be  0.0000  0.0000  0.0000  4 Cd 2.66, 8 W 2.89
Cd  0.5000  0.5000  0.0000  4 Be 2.66, 8 W 2.89
W  0.0000  0.5000  0.5000  4 W 2.66, 4 Cd 2.89, 4 Be 2.89

Calculated values
Crystal system: tetragonal
Polymorph energy (0 for the lowest one), meV per atom: 243
Formation energy from the elements, eV per atom: 0.594